Density functional theory data (SCAN) for CsZn2Sn2 at its PBEsol-relaxed geometry.

Unit cell a=4.8123 b=4.8123 c=11.5519 alpha=90.00 beta=90.00 gamma=90.00
Space group I4/mmm (No. 139)
Symmetry-distinct sites (fractional):
Cs1 0.0000 0.0000 0.0000 (multiplicity 2)
Zn1 0.0000 0.5000 0.2500 (multiplicity 4)
Sn1 0.0000 0.0000 0.3704 (multiplicity 4)

Properties
Spin magnetization (μB per formula unit): 0.0
ΔH_f (0 K) (eV/atom): -0.10
Volume (Å³/atom): 26.75